[1]
First-principles (SCAN) data for a PBEsol-optimized structure of TiFeH2, as listed in the Alexandria database.

Uncorrected energy, eV/atom: -10.517

POSCAR file:
```
TiFeH2
1.0
6.026 0.000 0.000
0.000 6.914 0.000
0.000 0.000 2.750
Ti Fe H
4 4 8
Direct
0.000 0.217 0.000
0.000 0.783 0.000
0.500 0.283 0.000
0.500 0.717 0.000
0.206 0.500 0.500
0.294 0.000 0.500
0.706 0.000 0.500
0.794 0.500 0.500
0.000 0.000 0.500
0.000 0.500 0.000
0.250 0.250 0.500
0.250 0.750 0.500
0.500 0.000 0.000
0.500 0.500 0.500
0.750 0.250 0.500
0.750 0.750 0.500
```

[2]
First-principles (SCAN) data for a PBEsol-optimized structure of TaSnN3, as listed in the Alexandria database.

Formation energy (no corrections), eV/atom: 1.5265

POSCAR file:
```
TaSnN3
1.0
3.968 0.000 0.000
0.000 3.968 0.000
0.000 0.000 3.968
Ta Sn N
1 1 3
Direct
0.000 0.000 0.000
0.500 0.500 0.500
0.000 0.500 0.500
0.500 0.000 0.500
0.500 0.500 0.000
```

[3]
First-principles (SCAN) data for a PBEsol-optimized structure of Ni2RhW, as listed in the Alexandria database.

Formation energy from the elements, eV/atom: -0.056

POSCAR file:
```
Ni2RhW
1.0
2.664 0.000 0.000
0.000 3.621 0.000
0.000 0.000 5.188
Ni Rh W
2 1 1
Direct
0.000 0.000 0.000
0.500 0.500 0.220
0.000 0.000 0.483
0.500 0.500 0.750
```

[4]
First-principles (SCAN) data for a PBEsol-optimized structure of Be2SiAs, as listed in the Alexandria database.

Formation energy (no corrections), eV/atom: 0.5113

POSCAR file:
```
Be2SiAs
1.0
3.418 0.000 0.000
0.000 4.309 0.000
0.000 0.000 6.882
Be Si As
4 2 2
Direct
0.000 0.000 0.247
0.000 0.000 0.753
0.500 0.500 0.253
0.500 0.500 0.747
0.000 0.500 0.500
0.500 0.000 0.000
0.000 0.500 0.000
0.500 0.000 0.500
```

[5]
First-principles (SCAN) data for a PBEsol-optimized structure of DyCuGe, as listed in the Alexandria database.

Formation energy from the elements, eV/atom: -0.779

POSCAR file:
```
DyCuGe
1.0
4.207 0.000 0.000
-2.104 3.643 0.000
0.000 0.000 7.066
Dy Cu Ge
2 2 2
Direct
0.000 0.000 0.000
0.000 0.000 0.500
0.333 0.667 0.214
0.667 0.333 0.714
0.333 0.667 0.775
0.667 0.333 0.275
```

[6]
First-principles (SCAN) data for a PBEsol-optimized structure of SrSc2TaTc, as listed in the Alexandria database.

Formation energy from the elements, eV/atom: 2.312

POSCAR file:
```
SrSc2TaTc
1.0
4.681 0.000 0.000
0.000 4.681 0.000
0.000 0.000 4.903
Sr Sc Ta Tc
1 2 1 1
Direct
0.000 0.000 0.000
0.000 0.500 0.000
0.500 0.000 0.000
0.000 0.000 0.500
0.500 0.500 0.500
```

[7]
First-principles (SCAN) data for a PBEsol-optimized structure of Sc3AgO, as listed in the Alexandria database.

Formation energy (no corrections), eV/atom: 0.5229

POSCAR file:
```
Sc3AgO
1.0
5.037 0.000 0.000
0.000 5.037 0.000
0.000 0.000 5.037
Sc Ag O
3 1 1
Direct
0.000 0.000 0.500
0.000 0.500 0.000
0.500 0.000 0.000
0.000 0.000 0.000
0.500 0.500 0.500
```

[8]
First-principles (SCAN) data for a PBEsol-optimized structure of NbB2SbRu, as listed in the Alexandria database.

Formation energy (no corrections), eV/atom: 1.5646

POSCAR file:
```
NbB2SbRu
1.0
4.241 0.000 0.000
0.000 4.241 0.000
0.000 0.000 4.837
Nb B Sb Ru
1 2 1 1
Direct
0.000 0.000 0.000
0.000 0.500 0.000
0.500 0.000 0.000
0.500 0.500 0.500
0.000 0.000 0.500
```

| no. | spin magnetization (μB/cell) |
| --- | --- |
| 1 | 3.16 |
| 2 | 0.00 |
| 3 | 0.00 |
| 4 | 0.00 |
| 5 | 0.00 |
| 6 | 1.36 |
| 7 | 0.00 |
| 8 | 0.00 |